Material: AcSb12Os4
Method: DFT, GGA-PBE
State: optimized geometry

The theoretical density comes out at 9.68 g cm⁻³. The total energy is -204.0 eV/cell. The value obtained for the formation energy from raw total energies is -20 kJ/mol of atoms.

The space group is Im-3 (No. 204) and the conventional cell measures 9.436, 9.436 and 9.436 Å, with angles of 90.00, 90.00 and 90.00 degrees. Symmetry generates all atoms from Ac at (0.000, 0.000, 0.000), Sb at (0.000, 0.341, 0.158) and Os at (0.250, 0.250, 0.250).